A:
An optimized crystal structure of CuSe3S. Source: Alexandria, functional GGA-PBE.

Size of the total moment in μB/f.u.: 0.00

Lattice parameters (Å, degrees): 4.739 4.739 4.739 90.00 90.00 90.00
Element x y z (fractional)
S 0.500 0.500 0.500
Cu 0.000 0.000 0.000
Se 0.000 0.500 0.000
Se 0.000 0.000 0.500
Se 0.500 0.000 0.000

B:
An optimized crystal structure of CuSe3S. Source: Alexandria, functional GGA-PBE.

Size of the total moment in μB/f.u.: 0.00

Lattice parameters (Å, degrees): 4.840 4.840 4.840 90.00 90.00 90.00
Element x y z (fractional)
S 0.000 0.000 0.000
Cu 0.500 0.500 0.500
Se 0.000 0.500 0.000
Se 0.000 0.000 0.500
Se 0.500 0.000 0.000

Stability ranking, top entry: A; the second entry is 0.020 eV/atom less favorable.

A:
An optimized crystal structure of Cu2Si2S. Source: Alexandria, functional GGA-PBE.

Size of the total moment in μB/f.u.: 0.00

Lattice parameters (Å, degrees): 6.580 6.580 3.432 90.00 90.00 90.00
Element x y z (fractional)
S 0.000 0.000 0.000
S 0.500 0.500 0.000
Si 0.149 0.649 0.500
Si 0.649 0.851 0.500
Si 0.851 0.351 0.500
Si 0.351 0.149 0.500
Cu 0.362 0.862 0.000
Cu 0.862 0.638 0.000
Cu 0.638 0.138 0.000
Cu 0.138 0.362 0.000

B:
An optimized crystal structure of Cu2Si2S. Source: Alexandria, functional GGA-PBE.

Size of the total moment in μB/f.u.: 0.00

Lattice parameters (Å, degrees): 3.528 3.528 6.478 74.20 74.20 90.00
Element x y z (fractional)
S 0.000 0.000 0.000
Si 0.750 0.250 0.500
Si 0.250 0.750 0.500
Cu 0.396 0.396 0.208
Cu 0.604 0.604 0.792

Stability ranking, top entry: B; the second entry is 0.046 eV/atom less favorable.

A:
An optimized crystal structure of Cu3SiS. Source: Alexandria, functional GGA-PBE.

Size of the total moment in μB/f.u.: 0.00

Lattice parameters (Å, degrees): 4.435 4.435 4.435 90.00 90.00 90.00
Element x y z (fractional)
S 0.500 0.500 0.500
Si 0.000 0.000 0.000
Cu 0.000 0.500 0.000
Cu 0.000 0.000 0.500
Cu 0.500 0.000 0.000

B:
An optimized crystal structure of Cu3SiS. Source: Alexandria, functional GGA-PBE.

Size of the total moment in μB/f.u.: 0.00

Lattice parameters (Å, degrees): 4.376 4.376 4.376 90.00 90.00 90.00
Element x y z (fractional)
S 0.000 0.000 0.000
Si 0.500 0.500 0.500
Cu 0.000 0.500 0.000
Cu 0.000 0.000 0.500
Cu 0.500 0.000 0.000

Stability ranking, top entry: B; the second entry is 0.153 eV/atom less favorable.

A:
An optimized crystal structure of CuSn3S. Source: Alexandria, functional GGA-PBE.

Size of the total moment in μB/f.u.: 0.00

Lattice parameters (Å, degrees): 5.052 5.052 5.052 90.00 90.00 90.00
Element x y z (fractional)
S 0.500 0.500 0.500
Sn 0.000 0.500 0.000
Sn 0.000 0.000 0.500
Sn 0.500 0.000 0.000
Cu 0.000 0.000 0.000

B:
An optimized crystal structure of CuSn3S. Source: Alexandria, functional GGA-PBE.

Size of the total moment in μB/f.u.: 0.00

Lattice parameters (Å, degrees): 5.319 5.319 5.319 90.00 90.00 90.00
Element x y z (fractional)
S 0.000 0.000 0.000
Sn 0.000 0.500 0.000
Sn 0.000 0.000 0.500
Sn 0.500 0.000 0.000
Cu 0.500 0.500 0.500

Stability ranking, top entry: A; the second entry is 0.313 eV/atom less favorable.

A:
An optimized crystal structure of Tl2Cu2SnS4. Source: Alexandria, functional GGA-PBE.

Size of the total moment in μB/f.u.: 0.00

Lattice parameters (Å, degrees): 3.894 7.599 7.536 110.58 104.97 90.00
Element x y z (fractional)
Tl 0.137 0.561 0.274
Tl 0.863 0.439 0.726
Cu 0.693 0.991 0.386
Cu 0.307 0.009 0.614
Sn 0.000 0.000 0.000
S 0.194 0.171 0.388
S 0.806 0.829 0.612
S 0.527 0.784 0.053
S 0.473 0.216 0.947

B:
An optimized crystal structure of Tl2Cu2SnS4. Source: Alexandria, functional GGA-PBE.

Size of the total moment in μB/f.u.: 0.00

Lattice parameters (Å, degrees): 9.398 9.398 9.398 147.20 103.12 86.13
Element x y z (fractional)
Tl 0.380 0.737 0.117
Tl 0.120 0.237 0.358
Tl 0.620 0.263 0.883
Tl 0.880 0.763 0.642
Cu 0.976 0.750 0.226
Cu 0.476 0.250 0.226
Cu 0.024 0.250 0.774
Cu 0.524 0.750 0.774
Sn 0.750 0.250 0.500
Sn 0.250 0.750 0.500
S 0.487 0.623 0.400
S 0.013 0.413 0.137
S 0.276 0.877 0.863
S 0.224 0.087 0.600
S 0.724 0.123 0.137
S 0.987 0.587 0.863
S 0.513 0.377 0.600
S 0.776 0.913 0.400

Stability ranking, top entry: A; the second entry is 0.017 eV/atom less favorable.

A:
An optimized crystal structure of SrCuS2. Source: Alexandria, functional GGA-PBE.

Size of the total moment in μB/f.u.: 0.00

Lattice parameters (Å, degrees): 4.843 4.843 4.843 60.00 60.00 60.00
Element x y z (fractional)
Sr 0.500 0.500 0.500
S 0.250 0.250 0.250
S 0.750 0.750 0.750
Cu 0.000 0.000 0.000

B:
An optimized crystal structure of SrCuS2. Source: Alexandria, functional GGA-PBE.

Size of the total moment in μB/f.u.: 0.94

Lattice parameters (Å, degrees): 7.491 7.491 7.491 35.74 35.74 35.74
Element x y z (fractional)
Sr 0.500 0.500 0.500
S 0.900 0.900 0.900
S 0.100 0.100 0.100
Cu 0.000 0.000 0.000

Stability ranking, top entry: B; the second entry is 0.296 eV/atom less favorable.

A:
An optimized crystal structure of SrCu3S3. Source: Alexandria, functional GGA-PBE.

Size of the total moment in μB/f.u.: 0.00

Lattice parameters (Å, degrees): 3.776 9.650 9.647 120.07 90.00 90.00
Element x y z (fractional)
Sr 0.250 0.666 0.333
Sr 0.750 0.334 0.667
Cu 0.250 0.681 0.980
Cu 0.250 0.021 0.701
Cu 0.250 0.299 0.319
Cu 0.750 0.319 0.020
Cu 0.750 0.979 0.299
Cu 0.750 0.701 0.681
S 0.250 0.120 0.400
S 0.250 0.601 0.721
S 0.250 0.280 0.880
S 0.750 0.880 0.600
S 0.750 0.399 0.279
S 0.750 0.720 0.120

B:
An optimized crystal structure of SrCu3S3. Source: Alexandria, functional GGA-PBE.

Size of the total moment in μB/f.u.: 0.00

Lattice parameters (Å, degrees): 6.470 6.470 6.470 90.00 90.00 90.00
Element x y z (fractional)
Sr 0.500 0.500 0.500
Sr 0.000 0.000 0.000
S 0.250 0.000 0.500
S 0.000 0.500 0.250
S 0.500 0.750 0.000
S 0.750 0.000 0.500
S 0.000 0.500 0.750
S 0.500 0.250 0.000
Cu 0.000 0.250 0.500
Cu 0.000 0.750 0.500
Cu 0.500 0.000 0.750
Cu 0.750 0.500 0.000
Cu 0.500 0.000 0.250
Cu 0.250 0.500 0.000

Stability ranking, top entry: A; the second entry is 0.065 eV/atom less favorable.

A:
An optimized crystal structure of Sr2Cu2S3. Source: Alexandria, functional GGA-PBE.

Size of the total moment in μB/f.u.: 0.00

Lattice parameters (Å, degrees): 4.067 6.049 7.065 104.32 106.73 90.00
Element x y z (fractional)
Sr 0.346 0.298 0.692
Sr 0.654 0.702 0.308
Cu 0.100 0.238 0.200
Cu 0.900 0.762 0.800
S 0.000 0.500 0.000
S 0.671 0.200 0.342
S 0.329 0.800 0.658

B:
An optimized crystal structure of Sr2Cu2S3. Source: Alexandria, functional GGA-PBE.

Size of the total moment in μB/f.u.: 0.00

Lattice parameters (Å, degrees): 3.975 7.189 6.858 126.83 106.85 90.00
Element x y z (fractional)
Sr 0.432 0.189 0.864
Sr 0.568 0.811 0.136
Cu 0.222 0.352 0.444
Cu 0.778 0.648 0.556
S 0.000 0.000 0.000
S 0.180 0.654 0.360
S 0.820 0.346 0.640

Stability ranking, top entry: A; the second entry is 0.047 eV/atom less favorable.

A:
An optimized crystal structure of TaCuS2. Source: Alexandria, functional GGA-PBE.

Size of the total moment in μB/f.u.: 0.00

Lattice parameters (Å, degrees): 7.803 7.803 7.803 24.42 24.42 24.42
Element x y z (fractional)
S 0.904 0.904 0.904
S 0.096 0.096 0.096
Cu 0.000 0.000 0.000
Ta 0.500 0.500 0.500

B:
An optimized crystal structure of TaCuS2. Source: Alexandria, functional GGA-PBE.

Size of the total moment in μB/f.u.: 0.00

Lattice parameters (Å, degrees): 3.376 3.376 13.330 90.00 90.00 120.00
Element x y z (fractional)
Ta 0.333 0.667 0.246
Ta 0.667 0.333 0.746
Cu 0.333 0.667 0.464
Cu 0.667 0.333 0.964
S 0.333 0.667 0.866
S 0.667 0.333 0.130
S 0.667 0.333 0.366
S 0.333 0.667 0.630

C:
An optimized crystal structure of TaCuS2. Source: Alexandria, functional GGA-PBE.

Size of the total moment in μB/f.u.: 0.00

Lattice parameters (Å, degrees): 4.353 4.353 4.353 60.00 60.00 60.00
Element x y z (fractional)
S 0.250 0.250 0.250
S 0.750 0.750 0.750
Cu 0.000 0.000 0.000
Ta 0.500 0.500 0.500

Stability ranking, top entry: B; the second entry is 0.140 eV/atom less favorable.

A:
An optimized crystal structure of TaCuS2. Source: Alexandria, functional GGA-PBE.

Size of the total moment in μB/f.u.: 0.00

Lattice parameters (Å, degrees): 3.224 3.676 11.462 90.00 98.08 90.00
Element x y z (fractional)
Ta 0.326 0.250 0.653
Ta 0.674 0.750 0.347
Cu 0.036 0.250 0.073
Cu 0.964 0.750 0.927
S 0.208 0.250 0.417
S 0.792 0.750 0.583
S 0.908 0.250 0.817
S 0.092 0.750 0.183

B:
An optimized crystal structure of TaCuS2. Source: Alexandria, functional GGA-PBE.

Size of the total moment in μB/f.u.: 0.00

Lattice parameters (Å, degrees): 5.568 5.568 6.379 64.12 64.12 90.00
Element x y z (fractional)
S 0.612 0.125 0.250
S 0.138 0.625 0.250
S 0.375 0.388 0.750
S 0.875 0.862 0.750
Cu 0.500 0.500 0.000
Cu 0.250 0.750 0.500
Ta 0.000 0.000 0.000
Ta 0.750 0.250 0.500

Stability ranking, top entry: A; the second entry is 0.127 eV/atom less favorable.

A:
An optimized crystal structure of Tb2CuS. Source: Alexandria, functional GGA-PBE.

Size of the total moment in μB/f.u.: 0.00

Lattice parameters (Å, degrees): 3.815 3.815 7.538 75.34 75.34 60.00
Element x y z (fractional)
Tb 0.078 0.078 0.765
Tb 0.255 0.255 0.236
Cu 0.499 0.499 0.503
S 0.668 0.668 0.996

B:
An optimized crystal structure of Tb2CuS. Source: Alexandria, functional GGA-PBE.

Size of the total moment in μB/f.u.: 0.00

Lattice parameters (Å, degrees): 3.683 3.683 9.174 78.42 78.42 60.00
Element x y z (fractional)
S 0.500 0.500 0.500
Tb 0.104 0.104 0.687
Tb 0.896 0.896 0.313
Cu 0.000 0.000 0.000

C:
An optimized crystal structure of Tb2CuS. Source: Alexandria, functional GGA-PBE.

Size of the total moment in μB/f.u.: 0.00

Lattice parameters (Å, degrees): 3.947 3.920 11.503 99.81 90.00 90.00
Element x y z (fractional)
Tb 0.750 0.687 0.373
Tb 0.250 0.313 0.627
Tb 0.750 0.930 0.860
Tb 0.250 0.070 0.140
Cu 0.250 0.463 0.926
Cu 0.750 0.537 0.074
S 0.250 0.192 0.385
S 0.750 0.808 0.615

Stability ranking, top entry: C; the second entry is 0.164 eV/atom less favorable.

A:
An optimized crystal structure of CuTcS3. Source: Alexandria, functional GGA-PBE.

Size of the total moment in μB/f.u.: 0.00

Lattice parameters (Å, degrees): 4.612 4.612 4.612 90.00 90.00 90.00
Element x y z (fractional)
S 0.000 0.500 0.000
S 0.000 0.000 0.500
S 0.500 0.000 0.000
Tc 0.000 0.000 0.000
Cu 0.500 0.500 0.500

B:
An optimized crystal structure of CuTcS3. Source: Alexandria, functional GGA-PBE.

Size of the total moment in μB/f.u.: 3.70

Lattice parameters (Å, degrees): 4.492 4.492 4.492 90.00 90.00 90.00
Element x y z (fractional)
S 0.000 0.500 0.000
S 0.000 0.000 0.500
S 0.500 0.000 0.000
Tc 0.500 0.500 0.500
Cu 0.000 0.000 0.000

Stability ranking, top entry: A; the second entry is 0.390 eV/atom less favorable.